No. 1
Computed, not measured: a relaxed PrBC crystal at the GGA-PBE level of DFT.

Cell: 4.406 4.406 4.406 Å, 126.47 126.47 79.12°
Positions (direct):
Pr 0.000 0.000 0.000
B 0.591 0.591 0.000
C 0.385 0.385 0.000

E_tot in eV/atom: -6.71
SG: I4mm



No. 2
Computed, not measured: a relaxed PrB3C crystal at the GGA-PBE level of DFT.

Cell: 7.550 4.233 9.426 Å, 90.00 125.71 90.00°
Positions (direct):
Pr 0.233 0.127 0.439
Pr 0.233 0.373 0.939
Pr 0.767 0.627 0.061
Pr 0.767 0.873 0.561
B 0.104 0.604 0.575
B 0.104 0.896 0.075
B 0.254 0.652 0.232
B 0.254 0.848 0.732
B 0.387 0.018 0.228
B 0.387 0.482 0.728
B 0.613 0.518 0.272
B 0.613 0.982 0.772
B 0.746 0.152 0.268
B 0.746 0.348 0.768
B 0.896 0.104 0.925
B 0.896 0.396 0.425
C 0.415 0.119 0.771
C 0.415 0.381 0.271
C 0.585 0.619 0.729
C 0.585 0.881 0.229

E_tot in eV/atom: -7.00
SG: P2_1/c



No. 3
Computed, not measured: a relaxed PrBC crystal at the GGA-PBE level of DFT.

Cell: 7.501 3.587 6.639 Å, 90.00 90.00 90.00°
Positions (direct):
Pr 0.174 0.250 0.156
Pr 0.326 0.750 0.656
Pr 0.674 0.250 0.344
Pr 0.826 0.750 0.844
B 0.023 0.250 0.573
B 0.477 0.750 0.073
B 0.523 0.250 0.927
B 0.977 0.750 0.427
C 0.085 0.250 0.783
C 0.415 0.750 0.283
C 0.585 0.250 0.717
C 0.915 0.750 0.217

E_tot in eV/atom: -7.10
SG: Pnma



No. 4
Computed, not measured: a relaxed Pr2B2C3 crystal at the GGA-PBE level of DFT.

Cell: 7.397 7.397 4.013 Å, 94.28 94.28 30.20°
Positions (direct):
Pr 0.151 0.151 0.254
Pr 0.849 0.849 0.746
B 0.421 0.421 0.197
B 0.579 0.579 0.803
C 0.327 0.327 0.287
C 0.500 0.500 0.000
C 0.673 0.673 0.713

E_tot in eV/atom: -7.44
SG: C2/m



No. 5
Computed, not measured: a relaxed PrBRu2C crystal at the GGA-PBE level of DFT.

Cell: 5.714 5.714 7.224 Å, 90.00 90.00 142.51°
Positions (direct):
Pr 0.052 0.948 0.750
Pr 0.948 0.052 0.250
B 0.220 0.780 0.250
B 0.780 0.220 0.750
Ru 0.329 0.671 0.568
Ru 0.329 0.671 0.932
Ru 0.671 0.329 0.068
Ru 0.671 0.329 0.432
C 0.500 0.500 0.000
C 0.500 0.500 0.500

E_tot in eV/atom: -8.03
SG: Cmcm



No. 6
Computed, not measured: a relaxed Pr2Tc2BC2 crystal at the GGA-PBE level of DFT.

Cell: 5.869 5.869 6.875 Å, 122.41 122.41 35.29°
Positions (direct):
Pr 0.067 0.067 0.340
Pr 0.933 0.933 0.660
Tc 0.294 0.294 0.904
Tc 0.706 0.706 0.096
B 0.500 0.500 0.000
C 0.314 0.314 0.239
C 0.686 0.686 0.761

E_tot in eV/atom: -8.01
SG: C2/m



No. 7
Computed, not measured: a relaxed Pr2Tc2B2C crystal at the GGA-PBE level of DFT.

Cell: 5.846 5.846 6.909 Å, 122.58 122.58 37.20°
Positions (direct):
Pr 0.070 0.070 0.327
Pr 0.930 0.930 0.673
Tc 0.300 0.300 0.912
Tc 0.700 0.700 0.088
B 0.308 0.308 0.239
B 0.692 0.692 0.761
C 0.500 0.500 0.000

E_tot in eV/atom: -7.86
SG: C2/m



No. 8
Computed, not measured: a relaxed B3PtC crystal at the GGA-PBE level of DFT.

Cell: 4.111 4.111 4.111 Å, 90.00 90.00 90.00°
Positions (direct):
B 0.000 0.000 0.500
B 0.000 0.500 0.000
B 0.500 0.000 0.000
Pt 0.000 0.000 0.000
C 0.500 0.500 0.500

E_tot in eV/atom: -4.84
SG: Pm-3m



No. 9
Computed, not measured: a relaxed BPtC2 crystal at the GGA-PBE level of DFT.

Cell: 5.078 5.078 5.078 Å, 129.13 129.13 74.81°
Positions (direct):
B 0.000 0.000 0.000
B 0.750 0.250 0.500
Pt 0.250 0.750 0.500
Pt 0.500 0.500 0.000
C 0.047 0.625 0.922
C 0.375 0.297 0.422
C 0.703 0.125 0.078
C 0.875 0.953 0.578

E_tot in eV/atom: -7.07
SG: I-42d



No. 10
Computed, not measured: a relaxed B3PtC crystal at the GGA-PBE level of DFT.

Cell: 3.507 3.507 3.507 Å, 90.00 90.00 90.00°
Positions (direct):
B 0.000 0.000 0.500
B 0.000 0.500 0.000
B 0.500 0.000 0.000
Pt 0.500 0.500 0.500
C 0.000 0.000 0.000

E_tot in eV/atom: -5.53
SG: Pm-3m



No. 11
Computed, not measured: a relaxed BPt3C crystal at the GGA-PBE level of DFT.

Cell: 4.138 4.138 4.138 Å, 90.00 90.00 90.00°
Positions (direct):
B 0.000 0.000 0.000
Pt 0.000 0.500 0.500
Pt 0.500 0.000 0.500
Pt 0.500 0.500 0.000
C 0.500 0.500 0.500

E_tot in eV/atom: -5.63
SG: Pm-3m



No. 12
Computed, not measured: a relaxed Re2BPtC crystal at the GGA-PBE level of DFT.

Cell: 4.464 4.464 2.981 Å, 90.00 90.00 90.00°
Positions (direct):
Re 0.000 0.500 0.000
Re 0.500 0.000 0.000
B 0.000 0.000 0.500
Pt 0.500 0.500 0.500
C 0.000 0.000 0.000

E_tot in eV/atom: -8.75
SG: P4/mmm



Number 10 is which compound? B3PtC